1.
BeHg2Ru | PBE-GGA | relaxed

Cell and atoms, written as CIF:
```
data_BeHg2Ru
_chemical_formula_sum 'Be1 Hg2 Ru1'
_space_group_name_H-M_alt 'P 1'
_space_group_IT_number 1
_cell_length_a 3.150
_cell_length_b 3.150
_cell_length_c 6.537
_cell_angle_alpha 90.00
_cell_angle_beta 90.00
_cell_angle_gamma 90.00
loop_
_space_group_symop_operation_xyz
'x,y,z'
loop_
_atom_site_label
_atom_site_type_symbol
_atom_site_fract_x
_atom_site_fract_y
_atom_site_fract_z
Ru1 Ru 0.500 0.500 0.250
Hg1 Hg 0.000 0.000 0.980
Hg2 Hg 0.000 0.000 0.520
Be1 Be 0.500 0.500 0.750
```

Properties
Space-group type = P4/mmm (123)
Energy relative to the elements = 605 meV per atom
Total DFT energy (no corrections) = -11.19 eV per cell
Fermi-level density of states = 3.058 states/eV/f.u.

2.
BeHgRu2 | PBE-GGA | relaxed

Cell and atoms, written as CIF:
```
data_BeHgRu2
_chemical_formula_sum 'Be1 Hg1 Ru2'
_space_group_name_H-M_alt 'P 1'
_space_group_IT_number 1
_cell_length_a 4.359
_cell_length_b 4.359
_cell_length_c 4.359
_cell_angle_alpha 60.00
_cell_angle_beta 60.00
_cell_angle_gamma 60.00
loop_
_space_group_symop_operation_xyz
'x,y,z'
loop_
_atom_site_label
_atom_site_type_symbol
_atom_site_fract_x
_atom_site_fract_y
_atom_site_fract_z
Ru1 Ru 0.000 0.000 0.000
Ru2 Ru 0.250 0.250 0.250
Hg1 Hg 0.750 0.750 0.750
Be1 Be 0.500 0.500 0.500
```

Properties
Space-group type = F-43m (216)
Energy relative to the elements = 519 meV per atom
Total DFT energy (no corrections) = -20.50 eV per cell
Fermi-level density of states = 3.844 states/eV/f.u.

3.
BeHgRu2 | PBE-GGA | relaxed

Cell and atoms, written as CIF:
```
data_BeHgRu2
_chemical_formula_sum 'Be1 Hg1 Ru2'
_space_group_name_H-M_alt 'P 1'
_space_group_IT_number 1
_cell_length_a 5.261
_cell_length_b 5.261
_cell_length_c 2.782
_cell_angle_alpha 76.54
_cell_angle_beta 76.54
_cell_angle_gamma 119.07
loop_
_space_group_symop_operation_xyz
'x,y,z'
loop_
_atom_site_label
_atom_site_type_symbol
_atom_site_fract_x
_atom_site_fract_y
_atom_site_fract_z
Ru1 Ru 0.000 0.000 0.000
Ru2 Ru 0.500 0.500 0.000
Hg1 Hg 0.000 0.500 0.500
Be1 Be 0.500 0.000 0.500
```

Properties
Space-group type = C2/m (12)
Energy relative to the elements = 587 meV per atom
Total DFT energy (no corrections) = -20.23 eV per cell
Fermi-level density of states = 4.081 states/eV/f.u.

4.
BeHg2Ru | PBE-GGA | relaxed

Cell and atoms, written as CIF:
```
data_BeHg2Ru
_chemical_formula_sum 'Be1 Hg2 Ru1'
_space_group_name_H-M_alt 'P 1'
_space_group_IT_number 1
_cell_length_a 3.134
_cell_length_b 3.095
_cell_length_c 7.924
_cell_angle_alpha 64.77
_cell_angle_beta 90.00
_cell_angle_gamma 90.00
loop_
_space_group_symop_operation_xyz
'x,y,z'
loop_
_atom_site_label
_atom_site_type_symbol
_atom_site_fract_x
_atom_site_fract_y
_atom_site_fract_z
Ru1 Ru 0.000 0.513 0.580
Hg1 Hg 0.000 0.753 0.950
Hg2 Hg 0.500 0.316 0.304
Be1 Be 0.500 0.919 0.666
```

Properties
Space-group type = Pm (6)
Energy relative to the elements = 202 meV per atom
Total DFT energy (no corrections) = -12.80 eV per cell
Fermi-level density of states = 3.026 states/eV/f.u.

What is the energy relative to the elements in the fourth record? 202 meV per atom

Look up the energy relative to the elements of the first one. 605 meV per atom

Which of these has the lowest total DFT energy (no corrections)? number 2